(1)
VASP calculation (PBE) on an optimized crystal structure of MnGaRe3.

Cell: 4.4286 4.4286 4.4286 Å, 90.00 90.00 90.00°
Sites, in units of the cell vectors:
Re1 0.0000 0.5000 0.0000
Re2 0.0000 0.0000 0.5000
Re3 0.5000 0.0000 0.0000
Mn1 0.0000 0.0000 0.0000
Ga1 0.5000 0.5000 0.5000

E in eV per atom: -8.40
Magnetization in Bohr magnetons per cell: 0.00
Space-group type: Pm-3m
Energy of formation in eV/atom: 1.51
Energy above the lowest structure with this stoichiometry in meV per atom: 0

***

(2)
VASP calculation (PBE) on an optimized crystal structure of MnGaRe2.

Cell: 2.7401 2.7401 9.2450 Å, 81.48 81.48 60.00°
Sites, in units of the cell vectors:
Re1 0.0838 0.0838 0.7485
Re2 0.9162 0.9162 0.2515
Mn1 0.0000 0.0000 0.0000
Ga1 0.5000 0.5000 0.5000

E in eV per atom: -8.64
Magnetization in Bohr magnetons per cell: 0.25
Space-group type: R-3m
Energy of formation in eV/atom: 0.63

***

(3)
VASP calculation (PBE) on an optimized crystal structure of Mn2GaRe.

Cell: 2.9499 2.9499 5.8218 Å, 90.00 90.00 90.00°
Sites, in units of the cell vectors:
Re1 0.5000 0.5000 0.0000
Mn1 0.0000 0.0000 0.7529
Mn2 0.0000 0.0000 0.2471
Ga1 0.5000 0.5000 0.5000

E in eV per atom: -8.47
Magnetization in Bohr magnetons per cell: 0.00
Space-group type: P4/mmm
Energy of formation in eV/atom: -0.02